PBE-GGA Dy7Er, relaxed; magnetic moment = 0.00 μB per cell; symmetry = Immm
1.0
3.346 0.002 1.067
1.204 8.355 1.996
-0.905 -0.222 8.624
Dy Er
7 1
direct
0.632 0.600 0.135
0.632 0.135 0.600
0.368 0.865 0.400
0.000 0.500 0.500
0.740 0.759 0.759
0.260 0.241 0.241
0.368 0.400 0.865
0.000 0.000 0.000



PBE-GGA Dy13Er3, relaxed; magnetic moment = 0.00 μB per cell; symmetry = Amm2
1.0
7.057 0.012 0.000
-0.013 7.057 0.000
0.000 0.000 9.966
Er Dy
3 13
direct
0.750 0.250 0.000
0.000 0.000 0.750
0.000 0.000 0.250
0.500 0.500 0.250
0.750 0.750 0.000
0.250 0.250 0.000
0.750 0.250 0.500
0.500 0.000 0.250
0.750 0.750 0.500
0.250 0.750 0.500
0.500 0.500 0.750
0.000 0.500 0.250
0.500 0.000 0.750
0.250 0.750 0.000
0.250 0.250 0.500
0.000 0.500 0.750



PBE-GGA Dy3Er5, relaxed; magnetic moment = 0.00 μB per cell; symmetry = Pmm2
1.0
3.594 0.000 0.000
0.000 5.563 0.000
0.000 0.000 12.444
Dy Er
3 5
direct
0.000 0.500 0.792
0.500 0.500 0.540
0.500 0.000 0.709
0.000 0.000 0.457
0.000 0.500 0.291
0.500 0.500 0.042
0.500 0.000 0.208
0.000 0.000 0.960



PBE-GGA Dy5Er4, relaxed; magnetic moment = 0.00 μB per cell; symmetry = Immm
1.0
3.533 0.227 0.522
1.077 8.866 1.130
0.598 -1.472 8.861
Er Dy
4 5
direct
0.644 0.713 0.999
0.644 0.332 0.379
0.356 0.621 0.668
0.356 0.001 0.287
0.708 0.959 0.626
0.000 0.040 0.960
0.292 0.374 0.041
0.000 0.293 0.707
0.000 0.667 0.333



PBE-GGA Dy3Er, relaxed; magnetic moment = 0.00 μB per cell; symmetry = Fm-3m
1.0
-1.327 3.951 -3.782
-4.704 3.026 0.624
0.320 5.445 1.388
Dy Er
3 1
direct
0.750 0.750 0.750
0.000 0.000 0.000
0.250 0.250 0.250
0.500 0.500 0.500



PBE-GGA Dy4Er, relaxed; magnetic moment = 0.00 μB per cell; symmetry = Pm-3m
1.0
5.618 0.000 0.000
0.000 5.618 0.000
0.000 0.000 5.618
Dy Er
4 1
direct
0.500 0.500 0.000
0.500 0.000 0.500
0.000 0.500 0.500
0.000 0.000 0.000
0.500 0.500 0.500



PBE-GGA Dy7Er, relaxed; magnetic moment = 0.00 μB per cell; symmetry = Fm-3m
1.0
7.053 0.000 0.000
3.527 6.108 0.000
3.527 2.036 5.759
Dy Er
7 1
direct
0.500 0.000 0.500
0.000 0.500 0.000
0.500 0.000 0.000
0.000 0.500 0.500
0.500 0.500 0.000
0.000 0.000 0.500
0.500 0.500 0.500
0.000 0.000 0.000



PBE-GGA Dy2Er, relaxed; magnetic moment = 0.01 μB per cell; symmetry = Fd-3m
1.0
6.508 0.000 0.000
3.254 5.636 0.000
3.254 1.879 5.314
Dy Er
4 2
direct
0.125 0.625 0.625
0.625 0.625 0.125
0.625 0.125 0.625
0.625 0.625 0.625
0.250 0.250 0.250
0.000 0.000 0.000



PBE-GGA Dy3Er13, relaxed; magnetic moment = 0.00 μB per cell; symmetry = Amm2
1.0
-4.392 4.863 -2.484
-3.442 -4.941 -3.584
-5.988 -1.449 7.748
Er Dy
13 3
direct
0.000 0.500 0.250
0.500 0.000 0.250
0.500 0.500 0.251
0.500 0.500 0.749
0.250 0.750 0.000
0.000 0.500 0.750
0.250 0.750 0.500
0.251 0.251 0.000
0.750 0.750 0.500
0.500 0.000 0.750
0.749 0.749 0.000
0.250 0.250 0.500
0.750 0.250 0.500
0.000 0.000 0.750
0.750 0.250 0.000
0.000 0.000 0.250



PBE-GGA Dy3Er8, relaxed; magnetic moment = 0.00 μB per cell; symmetry = R-3m
1.0
-2.168 -3.566 -2.370
2.412 -2.490 -3.318
6.510 -16.011 13.281
Er Dy
8 3
direct
0.172 0.172 0.483
0.828 0.828 0.517
0.472 0.472 0.583
0.055 0.055 0.834
0.304 0.304 0.088
0.528 0.528 0.417
0.945 0.945 0.166
0.696 0.696 0.912
0.581 0.581 0.256
0.000 0.000 0.000
0.419 0.419 0.744



PBE-GGA Dy4Er, relaxed; magnetic moment = 0.00 μB per cell; symmetry = C2/m
1.0
-1.157 -1.585 2.931
2.009 -2.412 1.609
6.297 9.013 9.444
Dy Er
4 1
direct
0.800 0.800 0.600
0.399 0.399 0.801
0.601 0.601 0.199
0.200 0.200 0.400
0.000 0.000 0.000



PBE-GGA DyEr8, relaxed; magnetic moment = 0.00 μB per cell; symmetry = I4/mmm
1.0
4.944 0.000 0.000
2.472 7.435 0.000
2.472 0.000 7.435
Dy Er
1 8
direct
0.000 0.000 0.000
0.333 0.667 0.667
0.667 0.666 0.000
0.667 0.333 0.333
0.333 0.334 0.000
0.333 0.000 0.334
0.000 0.333 0.667
0.000 0.667 0.333
0.667 0.000 0.666



E, respectively: -4.56; -4.58; -4.58; -4.54; -4.45; -3.87; -4.58; -4.33; -4.55; -3.59; -4.58; -4.54 eV/atom.